# Sm6HgSb2Te3 PBE optimized geometry
data_Sm6HgSb2Te3
_symmetry_space_group_name_H-M 'C 1 2/m 1'
_symmetry_Int_Tables_number 12
_cell_length_a 19.4375
_cell_length_b 4.4135
_cell_length_c 8.9828
_cell_angle_alpha 90.00
_cell_angle_beta 103.63
_cell_angle_gamma 90.00
loop_
_symmetry_equiv_pos_as_xyz
'x,y,z'
'-x,-y,-z'
'-x,y,-z'
'x,-y,z'
'x+1/2,y+1/2,z'
'-x+1/2,-y+1/2,-z'
'-x+1/2,y+1/2,-z'
'x+1/2,-y+1/2,z'
loop_
_atom_site_label
_atom_site_fract_x
_atom_site_fract_y
_atom_site_fract_z
Sm1 0.0004 0.0000 0.2453
Sm2 0.1633 0.5000 0.0863
Sm3 0.1694 0.5000 0.5776
Hg1 0.0000 0.5000 0.0000
Sb1 0.1659 0.0000 0.3328
Te1 0.0000 0.5000 0.5000
Te2 0.1692 0.0000 0.8331
# Magnetization in μB per formula unit: 0.00
# E_form (uncorrected) in eV per atom: -1.18

---

# AlP2AuCl PBE optimized geometry
data_AlP2AuCl
_symmetry_space_group_name_H-M 'P 4/m m m'
_symmetry_Int_Tables_number 123
_symmetry_space_group_name_Hall '-P 4 2'
_cell_length_a 4.6662
_cell_length_b 4.6662
_cell_length_c 6.4768
_cell_angle_alpha 90.00
_cell_angle_beta 90.00
_cell_angle_gamma 90.00
loop_
_atom_site_label
_atom_site_fract_x
_atom_site_fract_y
_atom_site_fract_z
Al1 0.0000 0.0000 0.0000
P1 0.0000 0.5000 0.5000
Au1 0.5000 0.5000 0.5000
Cl1 0.5000 0.5000 0.0000
# Magnetization in μB per formula unit: 1.07
# E_form (uncorrected) in eV per atom: 0.79

---

# PmTmHgPb PBE optimized geometry
data_PmTmHgPb
_symmetry_space_group_name_H-M 'P 4 m m'
_symmetry_Int_Tables_number 99
_cell_length_a 3.8315
_cell_length_b 3.8315
_cell_length_c 7.4659
_cell_angle_alpha 90.00
_cell_angle_beta 90.00
_cell_angle_gamma 90.00
loop_
_symmetry_equiv_pos_as_xyz
'x,y,z'
'-y,x,z'
'-x,-y,z'
'y,-x,z'
'-x,y,z'
'y,x,z'
'x,-y,z'
'-y,-x,z'
loop_
_atom_site_label
_atom_site_fract_x
_atom_site_fract_y
_atom_site_fract_z
Pm1 0.0000 0.0000 0.0000
Tm1 0.0000 0.0000 0.5178
Hg1 0.5000 0.5000 0.7394
Pb1 0.5000 0.5000 0.2690
# Formation energy in kJ/mol of formula units: -177
# Magnetization in μB per formula unit: 0.00

---

# Cs2HfTcTe PBE optimized geometry
data_Cs2HfTcTe
_symmetry_space_group_name_H-M 'P 4/m m m'
_symmetry_Int_Tables_number 123
_symmetry_space_group_name_Hall '-P 4 2'
_cell_length_a 5.9372
_cell_length_b 5.9372
_cell_length_c 5.0398
_cell_angle_alpha 90.00
_cell_angle_beta 90.00
_cell_angle_gamma 90.00
loop_
_atom_site_label
_atom_site_fract_x
_atom_site_fract_y
_atom_site_fract_z
Cs1 0.0000 0.5000 0.0000
Hf1 0.0000 0.0000 0.5000
Tc1 0.0000 0.0000 0.0000
Te1 0.5000 0.5000 0.5000
# Magnetization in μB per formula unit: 0.00
# E_form (uncorrected) in eV per atom: 0.80

---

Copy entry 1 word for word.
# Sm6HgSb2Te3 PBE optimized geometry
data_Sm6HgSb2Te3
_symmetry_space_group_name_H-M 'C 1 2/m 1'
_symmetry_Int_Tables_number 12
_cell_length_a 19.4375
_cell_length_b 4.4135
_cell_length_c 8.9828
_cell_angle_alpha 90.00
_cell_angle_beta 103.63
_cell_angle_gamma 90.00
loop_
_symmetry_equiv_pos_as_xyz
'x,y,z'
'-x,-y,-z'
'-x,y,-z'
'x,-y,z'
'x+1/2,y+1/2,z'
'-x+1/2,-y+1/2,-z'
'-x+1/2,y+1/2,-z'
'x+1/2,-y+1/2,z'
loop_
_atom_site_label
_atom_site_fract_x
_atom_site_fract_y
_atom_site_fract_z
Sm1 0.0004 0.0000 0.2453
Sm2 0.1633 0.5000 0.0863
Sm3 0.1694 0.5000 0.5776
Hg1 0.0000 0.5000 0.0000
Sb1 0.1659 0.0000 0.3328
Te1 0.0000 0.5000 0.5000
Te2 0.1692 0.0000 0.8331
# Magnetization in μB per formula unit: 0.00
# E_form (uncorrected) in eV per atom: -1.18

---

The highest magnetization belongs to which entry? AlP2AuCl

---

What did the second record say?
# AlP2AuCl PBE optimized geometry
data_AlP2AuCl
_symmetry_space_group_name_H-M 'P 4/m m m'
_symmetry_Int_Tables_number 123
_symmetry_space_group_name_Hall '-P 4 2'
_cell_length_a 4.6662
_cell_length_b 4.6662
_cell_length_c 6.4768
_cell_angle_alpha 90.00
_cell_angle_beta 90.00
_cell_angle_gamma 90.00
loop_
_atom_site_label
_atom_site_fract_x
_atom_site_fract_y
_atom_site_fract_z
Al1 0.0000 0.0000 0.0000
P1 0.0000 0.5000 0.5000
Au1 0.5000 0.5000 0.5000
Cl1 0.5000 0.5000 0.0000
# Magnetization in μB per formula unit: 1.07
# E_form (uncorrected) in eV per atom: 0.79

---

Copy entry 3 word for word.
# PmTmHgPb PBE optimized geometry
data_PmTmHgPb
_symmetry_space_group_name_H-M 'P 4 m m'
_symmetry_Int_Tables_number 99
_cell_length_a 3.8315
_cell_length_b 3.8315
_cell_length_c 7.4659
_cell_angle_alpha 90.00
_cell_angle_beta 90.00
_cell_angle_gamma 90.00
loop_
_symmetry_equiv_pos_as_xyz
'x,y,z'
'-y,x,z'
'-x,-y,z'
'y,-x,z'
'-x,y,z'
'y,x,z'
'x,-y,z'
'-y,-x,z'
loop_
_atom_site_label
_atom_site_fract_x
_atom_site_fract_y
_atom_site_fract_z
Pm1 0.0000 0.0000 0.0000
Tm1 0.0000 0.0000 0.5178
Hg1 0.5000 0.5000 0.7394
Pb1 0.5000 0.5000 0.2690
# Formation energy in kJ/mol of formula units: -177
# Magnetization in μB per formula unit: 0.00